This record from Alexandria describes crystalline Nd2InRu at its relaxed geometry. The functional is PBE-GGA.

Summary:
Energy relative to the elements: -201 meV/atom
Calculated total energy: -5.589 eV per atom
N(E_F): 11.08 states/eV/cell

```
Nd2InRu
1.0
7.399 0.000 0.000
0.000 7.399 0.000
0.000 0.000 7.399
Nd In Ru
8 4 4
Direct
0.250 0.250 0.250 Nd
0.250 0.250 0.750 Nd
0.250 0.750 0.250 Nd
0.250 0.750 0.750 Nd
0.750 0.250 0.250 Nd
0.750 0.250 0.750 Nd
0.750 0.750 0.250 Nd
0.750 0.750 0.750 Nd
0.000 0.000 0.000 In
0.000 0.500 0.500 In
0.500 0.000 0.500 In
0.500 0.500 0.000 In
0.000 0.000 0.500 Ru
0.000 0.500 0.000 Ru
0.500 0.000 0.000 Ru
0.500 0.500 0.500 Ru
```

---

This record from Alexandria describes crystalline Pu3GaGe2 at its relaxed geometry. The functional is PBE-GGA.

Summary:
Energy relative to the elements: -390 meV/atom
Calculated total energy: -9.599 eV per atom
N(E_F): 17.58 states/eV/cell

```
Pu3GaGe2
1.0
3.200 0.000 0.000
0.000 3.200 0.000
0.000 0.000 12.724
Pu Ga Ge
3 1 2
Direct
0.000 0.000 0.000 Pu
0.000 0.000 0.329 Pu
0.000 0.000 0.671 Pu
0.500 0.500 0.500 Ga
0.500 0.500 0.165 Ge
0.500 0.500 0.835 Ge
```

---

- Which of these has the lowest energy relative to the elements?
  Pu3GaGe2